1.
DyHoAg2 | PBE-GGA | optimized geometry

Geometry as extended XYZ:
```
8
Lattice="4.778 0.000 0.000 0.000 5.611 0.000 0.000 0.000 7.206" Properties=species:S:1:pos:R:3 pbc="T T T"
Dy 0.000 0.577 0.000
Dy 0.000 5.034 3.603
Ho 2.389 2.226 4.549
Ho 2.389 3.385 0.946
Ag 0.000 2.242 2.540
Ag 0.000 3.369 6.143
Ag 2.389 0.573 2.010
Ag 2.389 5.038 5.613
```

Computed properties:
ΔE_f ... -0.30 eV per atom
Size of the total moment ... 0.0 μB/f.u.
E ... -4.007 eV per atom

***

2.
Tb2GdIn3CuPd2 | PBE-GGA | optimized geometry

Geometry as extended XYZ:
```
9
Lattice="3.875 0.000 0.000 0.000 6.655 3.840 0.000 -6.655 3.840" Properties=species:S:1:pos:R:3 pbc="T T T"
Tb 0.000 -3.928 3.840
Tb 0.000 3.928 3.840
Gd 0.000 0.000 2.960
In 1.938 0.000 0.355
In 1.938 -1.675 5.143
In 1.938 1.675 5.143
Cu 0.000 0.000 6.109
Pd 1.938 -2.223 2.266
Pd 1.938 2.223 2.266
```

Computed properties:
Size of the total moment ... 0.0 μB/f.u.
E ... -4.724 eV per atom

***

3.
BaTbDyS3 | PBE-GGA | optimized geometry

Geometry as extended XYZ:
```
12
Lattice="2.151 -7.126 0.000 2.151 7.126 0.000 0.000 0.000 10.517" Properties=species:S:1:pos:R:3 pbc="T T T"
Ba 2.151 3.694 7.888
Ba 2.151 -3.694 2.629
Tb 2.151 6.678 2.629
Tb 2.151 -6.678 7.888
Dy 2.151 0.000 0.000
Dy 2.151 0.000 5.258
S 2.151 5.276 0.433
S 2.151 5.276 4.826
S 2.151 1.169 2.629
S 2.151 -1.169 7.888
S 2.151 -5.276 5.691
S 2.151 -5.276 10.084
```

Computed properties:
Size of the total moment ... 0.8 μB/f.u.
E ... -5.630 eV per atom

***

4.
PaInGa | PBE-GGA | optimized geometry

Geometry as extended XYZ:
```
3
Lattice="0.000 3.511 3.511 3.511 0.000 3.511 3.511 3.511 0.000" Properties=species:S:1:pos:R:3 pbc="T T T"
Pa 0.000 0.000 0.000
In 1.756 1.756 1.756
Ga 5.267 5.267 5.267
```

Computed properties:
Size of the total moment ... 0.8 μB/f.u.
Excess energy over the best structure of this formula in the dataset ... 276 meV per atom
E ... -4.657 eV per atom

***

5.
LuHfSc2 | PBE-GGA | optimized geometry

Geometry as extended XYZ:
```
4
Lattice="0.000 3.651 3.651 3.651 0.000 3.651 3.651 3.651 0.000" Properties=species:S:1:pos:R:3 pbc="T T T"
Lu 0.000 0.000 0.000
Hf 1.825 1.825 1.825
Sc 3.651 3.651 3.651
Sc 5.476 5.476 5.476
```

Computed properties:
ΔE_f ... 0.22 eV per atom
Size of the total moment ... 2.5 μB/f.u.
E ... -6.563 eV per atom

***

6.
LiBAsIr | PBE-GGA | optimized geometry

Geometry as extended XYZ:
```
4
Lattice="0.000 2.899 2.899 2.899 0.000 2.899 2.899 2.899 0.000" Properties=species:S:1:pos:R:3 pbc="T T T"
Li 0.000 0.000 0.000
B 1.449 1.449 1.449
As 4.348 4.348 4.348
Ir 2.899 2.899 2.899
```

Computed properties:
Size of the total moment ... 0.0 μB/f.u.
Excess energy over the best structure of this formula in the dataset ... 0 meV per atom
E ... -5.374 eV per atom

***

7.
Sr2TlAu2 | PBE-GGA | optimized geometry

Geometry as extended XYZ:
```
5
Lattice="-2.351 2.351 7.188 2.351 -2.351 7.188 2.351 2.351 -7.188" Properties=species:S:1:pos:R:3 pbc="T T T"
Sr 0.000 0.000 1.710
Sr 0.000 0.000 12.666
Tl 0.000 0.000 7.188
Au 2.351 0.000 3.594
Au 0.000 2.351 3.594
```

Computed properties:
E ... -2.769 eV per atom

***

8.
HfSnBi | PBE-GGA | optimized geometry

Geometry as extended XYZ:
```
3
Lattice="0.000 3.543 3.543 3.543 0.000 3.543 3.543 3.543 0.000" Properties=species:S:1:pos:R:3 pbc="T T T"
Hf 0.000 0.000 0.000
Sn 1.771 1.771 1.771
Bi 5.314 5.314 5.314
```

Computed properties:
Size of the total moment ... 0.4 μB/f.u.
Excess energy over the best structure of this formula in the dataset ... 0 meV per atom
E ... -5.763 eV per atom